No. 1
ErSiPd: optimized geometry, PBE.

Calculated values
Density of states at the Fermi level = 8.73 states/eV per cell
E_form (uncorrected) = -3.03 eV/f.u.
Raw total energy = -6.07 eV/atom
M_tot = 0.000 μB per atom

```
data_ErSiPd
_chemical_formula_sum 'Er8 Si8 Pd8'
_cell_length_a 4.314
_cell_length_b 13.850
_cell_length_c 7.438
_cell_angle_alpha 90.00
_cell_angle_beta 90.00
_cell_angle_gamma 90.00
_space_group_name_H-M_alt 'P m m n'
_space_group_IT_number 59
loop_
_space_group_symop_operation_xyz
'x,y,z'
'-x,-y,-z'
'-x+1/2,-y+1/2,z'
'x+1/2,y+1/2,-z'
'x+1/2,-y,-z'
'-x+1/2,y,z'
'-x,y+1/2,-z'
'x,-y+1/2,z'
loop_
_atom_site_label
_atom_site_fract_x
_atom_site_fract_y
_atom_site_fract_z
Er1 0.250 0.001 0.209
Er2 0.250 0.250 0.301
Er3 0.250 0.750 0.293
Si1 0.250 0.104 0.593
Si2 0.250 0.657 0.908
Pd1 0.250 0.141 0.924
Pd2 0.250 0.594 0.582
```

=====

No. 2
ScGaAsBr2: optimized geometry, PBE.

Calculated values
Density of states at the Fermi level = 3.18 states/eV per cell
E_form (uncorrected) = -2.96 eV/f.u.
Raw total energy = -4.06 eV/atom
M_tot = 0.172 μB per atom

```
data_ScGaAsBr2
_chemical_formula_sum 'Sc1 Ga1 As1 Br2'
_cell_length_a 5.279
_cell_length_b 5.279
_cell_length_c 5.361
_cell_angle_alpha 90.00
_cell_angle_beta 90.00
_cell_angle_gamma 90.00
_space_group_name_H-M_alt 'P 4/m m m'
_space_group_IT_number 123
_space_group_name_Hall '-P 4 2'
loop_
_atom_site_label
_atom_site_fract_x
_atom_site_fract_y
_atom_site_fract_z
Sc1 0.000 0.000 0.000
Ga1 0.500 0.500 0.500
As1 0.000 0.000 0.500
Br1 0.000 0.500 0.000
```

=====

No. 3
K3Pm3SbO8: optimized geometry, PBE.

Calculated values
Density of states at the Fermi level = 5.27 states/eV per cell
E_form (uncorrected) = -35.78 eV/f.u.
Raw total energy = -6.47 eV/atom
M_tot = 0.000 μB per atom

```
data_K3Pm3SbO8
_chemical_formula_sum 'K9 Pm9 Sb3 O24'
_cell_length_a 7.0828
_cell_length_b 7.0828
_cell_length_c 19.0564
_cell_angle_alpha 90.00
_cell_angle_beta 90.00
_cell_angle_gamma 120.00
_space_group_name_H-M_alt 'R -3 m'
_space_group_IT_number 166
_space_group_name_Hall '-R 3 2"'
loop_
_atom_site_label
_atom_site_fract_x
_atom_site_fract_y
_atom_site_fract_z
K1 0.0000 0.5000 0.0000
Pm1 0.0000 0.5000 0.5000
Sb1 0.0000 0.0000 0.5000
O1 0.0000 0.0000 0.2287
O2 0.0294 0.5147 0.2254
```

=====

No. 4
LaMgTa2: optimized geometry, PBE.

Calculated values
Formation enthalpy at 0 K = 551 meV per atom
Density of states at the Fermi level = 9.13 states/eV per cell
Raw total energy = -7.01 eV/atom
M_tot = 0.000 μB per atom

```
data_LaMgTa2
_chemical_formula_sum 'La2 Mg2 Ta4'
_cell_length_a 3.154
_cell_length_b 5.257
_cell_length_c 10.690
_cell_angle_alpha 90.00
_cell_angle_beta 90.00
_cell_angle_gamma 90.00
_space_group_name_H-M_alt 'I m m m'
_space_group_IT_number 71
_space_group_name_Hall '-I 2 2'
loop_
_atom_site_label
_atom_site_fract_x
_atom_site_fract_y
_atom_site_fract_z
La1 0.000 0.000 0.000
Mg1 0.000 0.000 0.500
Ta1 0.000 0.500 0.241
```

=====

No. 5
FeNiAg2: optimized geometry, PBE.

Calculated values
Formation enthalpy at 0 K = 350 meV per atom
Density of states at the Fermi level = 11.80 states/eV per cell
Raw total energy = -4.64 eV/atom
M_tot = 0.680 μB per atom

```
data_FeNiAg2
_chemical_formula_sum 'Fe3 Ni3 Ag6'
_cell_length_a 2.7413
_cell_length_b 2.7413
_cell_length_c 27.1868
_cell_angle_alpha 90.00
_cell_angle_beta 90.00
_cell_angle_gamma 120.00
_space_group_name_H-M_alt 'R -3 m'
_space_group_IT_number 166
_space_group_name_Hall '-R 3 2"'
loop_
_atom_site_label
_atom_site_fract_x
_atom_site_fract_y
_atom_site_fract_z
Fe1 0.0000 0.0000 0.0000
Ni1 0.0000 0.0000 0.5000
Ag1 0.0000 0.0000 0.2481
```

=====

No. 6
LiSmPaPt: optimized geometry, PBE.

Calculated values
Formation enthalpy at 0 K = -233 meV per atom
Density of states at the Fermi level = 30.79 states/eV per cell
Raw total energy = -5.78 eV/atom
M_tot = 0.254 μB per atom

```
data_LiSmPaPt
_chemical_formula_sum 'Li4 Sm4 Pa4 Pt4'
_cell_length_a 7.104
_cell_length_b 7.104
_cell_length_c 7.104
_cell_angle_alpha 90.00
_cell_angle_beta 90.00
_cell_angle_gamma 90.00
_space_group_name_H-M_alt 'F -4 3 m'
_space_group_IT_number 216
_space_group_name_Hall 'F -4 2 3'
loop_
_atom_site_label
_atom_site_fract_x
_atom_site_fract_y
_atom_site_fract_z
Li1 0.000 0.000 0.000
Sm1 0.250 0.250 0.750
Pa1 0.250 0.250 0.250
Pt1 0.000 0.000 0.500
```

=====

No. 7
K2InRh: optimized geometry, PBE.

Calculated values
Formation enthalpy at 0 K = 3 meV per atom
Density of states at the Fermi level = 1.84 states/eV per cell
Raw total energy = -3.07 eV/atom
M_tot = 0.000 μB per atom

```
data_K2InRh
_chemical_formula_sum 'K2 In1 Rh1'
_cell_length_a 3.422
_cell_length_b 4.104
_cell_length_c 10.122
_cell_angle_alpha 90.00
_cell_angle_beta 98.98
_cell_angle_gamma 90.00
_space_group_name_H-M_alt 'P 1 m 1'
_space_group_IT_number 6
loop_
_space_group_symop_operation_xyz
'x,y,z'
'x,-y,z'
loop_
_atom_site_label
_atom_site_fract_x
_atom_site_fract_y
_atom_site_fract_z
K1 0.000 0.000 0.000
K2 0.294 0.500 0.594
In1 0.641 0.000 0.310
Rh1 0.127 0.500 0.281
```

=====

No. 8
AcPdS2: optimized geometry, PBE.

Calculated values
Density of states at the Fermi level = 4.82 states/eV per cell
E_form (uncorrected) = -5.08 eV/f.u.
Raw total energy = -5.66 eV/atom
M_tot = 0.000 μB per atom

```
data_AcPdS2
_chemical_formula_sum 'Ac2 Pd2 S4'
_cell_length_a 4.611
_cell_length_b 6.700
_cell_length_c 7.206
_cell_angle_alpha 92.51
_cell_angle_beta 96.76
_cell_angle_gamma 93.58
_space_group_name_H-M_alt 'P 1'
_space_group_IT_number 1
loop_
_space_group_symop_operation_xyz
'x,y,z'
loop_
_atom_site_label
_atom_site_fract_x
_atom_site_fract_y
_atom_site_fract_z
Ac1 0.000 0.000 0.000
Ac2 0.499 0.500 0.500
Pd1 0.244 0.951 0.610
Pd2 0.754 0.049 0.390
S1 0.000 0.257 0.645
S2 0.466 0.750 0.844
S3 0.533 0.251 0.155
S4 0.998 0.743 0.355
```